# CdAg2Sb (PBE-GGA, relaxed)
# E above lowest polymorph, meV per atom: 33
# Raw formation energy, eV per atom: 0.08
# Energy, eV per atom: -2.6076
# Volume, Å³/cell: 86.40
data_CdAg2Sb
_symmetry_space_group_name_H-M 'P 4 m m'
_symmetry_Int_Tables_number 99
_symmetry_space_group_name_Hall 'P 4 -2'
_cell_length_a 3.131
_cell_length_b 3.131
_cell_length_c 8.813
_cell_angle_alpha 90.00
_cell_angle_beta 90.00
_cell_angle_gamma 90.00
loop_
_atom_site_label
_atom_site_fract_x
_atom_site_fract_y
_atom_site_fract_z
Cd1 0.000 0.000 0.000
Ag1 0.000 0.000 0.558
Ag2 0.500 0.500 0.776
Sb1 0.500 0.500 0.304